Entry from Alexandria via LeMat-Bulk: an optimized crystal structure of NdScSe3 (PBE).

Computed properties:
Excess energy over the best structure of this formula in the dataset: 9 meV per atom
Formation energy (no corrections): -1778 meV/atom
Density of states at the Fermi level: 0.003 states/eV per atom

abc: 8.4629 3.9731 14.7008
angles: 90.00 90.00 90.00
Closest atoms and distances in Å follow each position.
Space group Pnma (No. 62)
One atom of each set of equivalent atoms:
Nd: 0.1404 0.2500 0.1963  8 Se 3.00-3.29
Sc: 0.1811 0.7500 0.4588  6 Se 2.71-2.74
Se: 0.0013 0.2500 0.3875  3 Sc 2.71-2.74
Se: 0.1533 0.2500 0.7989  1 Sc 2.74, 2 Nd 3.04
Se: 0.1601 0.7500 0.0442  2 Sc 2.71, 2 Nd 3.00

Entry from Alexandria via LeMat-Bulk: an optimized crystal structure of PrCuCl4 (PBE).

Computed properties:
Formation energy (no corrections): -1630 meV/atom
Density of states at the Fermi level: 0.000 states/eV per atom

abc: 8.8703 8.8703 8.2655
angles: 90.00 90.00 90.00
Closest atoms and distances in Å follow each position.
Space group I4_1/amd (No. 141, origin choice 2)
One atom of each set of equivalent atoms:
Pr: 0.0000 0.2500 0.3750  8 Cl 2.83-3.00
Cu: 0.0000 0.2500 0.8750  4 Cl 2.30
Cl: 0.0000 0.0653 0.6792  1 Cu 2.30

Entry from Alexandria via LeMat-Bulk: an optimized crystal structure of Cu2S2Cl (PBE).

Computed properties:
Excess energy over the best structure of this formula in the dataset: 54 meV per atom
Formation energy (no corrections): -104 meV/atom
Density of states at the Fermi level: 0.419 states/eV per atom

abc: 6.7033 9.7918 6.1318
angles: 90.00 117.32 90.00
Closest atoms and distances in Å follow each position.
Space group C2/c (No. 15)
One atom of each set of equivalent atoms:
Cu: 0.0000 0.1027 0.2500  1 Cl 2.26, 2 S 2.30
Cu: 0.0000 0.2646 0.7500  4 S 2.26-2.30
S: 0.1945 0.0990 0.0229  4 Cu 2.26-2.53
Cl: 0.0000 0.3332 0.2500  1 Cu 2.26

Entry from Alexandria via LeMat-Bulk: an optimized crystal structure of TbMg4Hg2 (PBE).

Computed properties:
Excess energy over the best structure of this formula in the dataset: 0 meV per atom
Energy of formation from the pure elements: -0.23 eV/atom
Density of states at the Fermi level: 0.547 states/eV per atom

abc: 8.4051 8.4051 4.6134
angles: 90.00 90.00 90.00
Closest atoms and distances in Å follow each position.
Space group P4_2/mnm (No. 136)
One atom of each set of equivalent atoms:
Tb: 0.0000 0.0000 0.0000  6 Hg 3.37-3.48, 4 Mg 3.63
Mg: 0.0968 0.3441 0.5000  3 Hg 2.80-2.87, 2 Mg 2.94-3.08
Hg: 0.2072 0.7928 0.5000  6 Mg 2.80-2.87

Entry from Alexandria via LeMat-Bulk: an optimized crystal structure of ThS8Br2 (PBE).

Computed properties:
Formation energy (no corrections): -439 meV/atom

abc: 5.1195 5.4770 11.5758
angles: 79.43 78.88 84.61
Closest atoms and distances in Å follow each position.
Space group P-1 (No. 2)
One atom of each set of equivalent atoms:
Th: 0.0000 0.0000 0.0000  12 S 2.89-3.14
S: 0.1056 0.4715 0.0688  1 S 2.06
S: 0.1252 0.9387 0.7325  1 S 2.04
S: 0.4662 0.8599 0.8017  2 S 2.04-2.07
S: 0.4811 0.8239 0.1336  1 S 2.07
Br: 0.1911 0.2642 0.5777  1 S 2.28

Entry from Alexandria via LeMat-Bulk: an optimized crystal structure of CsLiZn2Br6 (PBE).

Computed properties:
Formation energy (no corrections): -1171 meV/atom
Density of states at the Fermi level: 0.000 states/eV per atom

abc: 13.9522 15.3255 7.5290
angles: 90.00 107.72 90.00
Closest atoms and distances in Å follow each position.
Space group C2/c (No. 15)
One atom of each set of equivalent atoms:
Cs: 0.0000 0.1138 0.2500  6 Br 3.57-3.69
Li: 0.0000 0.2338 0.7500  4 Br 2.50-2.75
Zn: 0.1933 0.4257 0.1760  4 Br 2.42-2.52
Br: 0.1041 0.2921 0.0589  1 Zn 2.42, 1 Li 2.50
Br: 0.1258 0.0971 0.7393  1 Zn 2.43
Br: 0.1460 0.4469 0.4712  2 Zn 2.45-2.52

Entry from Alexandria via LeMat-Bulk: an optimized crystal structure of CrNiGe2 (PBE).

Computed properties:
Energy of formation from the pure elements: 0.38 eV/atom
Density of states at the Fermi level: 0.145 states/eV per atom

abc: 6.4806 6.4806 5.5673
angles: 90.00 90.00 90.00
Closest atoms and distances in Å follow each position.
Space group I-42d (No. 122)
One atom of each set of equivalent atoms:
Cr: 0.0000 0.0000 0.0000  4 Ge 2.49, 2 Ni 2.78
Ni: 0.0000 0.0000 0.5000  4 Ge 2.31
Ge: 0.2297 0.2500 0.6250  2 Ni 2.31, 2 Cr 2.49

Entry from Alexandria via LeMat-Bulk: an optimized crystal structure of IrOsRu2 (PBE).

Computed properties:
Excess energy over the best structure of this formula in the dataset: 515 meV per atom
Energy of formation from the pure elements: 0.51 eV/atom
Density of states at the Fermi level: 1.365 states/eV per atom

abc: 5.3821 9.3271 2.6862
angles: 90.00 119.26 90.00
Closest atoms and distances in Å follow each position.
Space group C2/m (No. 12)
One atom of each set of equivalent atoms:
Ir: 0.0000 0.0000 0.0000  2 Ir 2.69, 4 Os 2.69-2.72, 4 Ru 2.70
Os: 0.0000 0.5000 0.0000  2 Os 2.69, 4 Ir 2.69-2.72, 4 Ru 2.70
Ru: 0.2500 0.2500 0.5000  6 Ru 2.69-2.72, 2 Ir 2.70, 2 Os 2.70

Entry from Alexandria via LeMat-Bulk: an optimized crystal structure of Y2Ho5Tm4 (PBE).

Computed properties:
Excess energy over the best structure of this formula in the dataset: 0 meV per atom
Energy of formation from the pure elements: 0.15 eV/atom
Density of states at the Fermi level: 1.675 states/eV per atom

abc: 10.9159 7.2794 9.1253
angles: 90.00 106.61 90.00
Closest atoms and distances in Å follow each position.
Space group C2/m (No. 12)
One atom of each set of equivalent atoms:
Y: 0.1456 0.0000 0.1231  1 Y 3.33, 6 Ho 3.37-3.63, 4 Tm 3.43-3.65
Ho: 0.0000 0.0000 0.5000  4 Ho 3.18, 2 Tm 3.52
Ho: 0.0706 0.2795 0.7791  2 Ho 3.18-3.21, 2 Y 3.37-3.42, 5 Tm 3.39-3.50
Tm: 0.1666 0.5000 0.1202  6 Ho 3.39-3.42, 2 Tm 3.40-3.67, 3 Y 3.43-3.65
Tm: 0.1763 0.5000 0.4961  1 Tm 3.40, 1 Y 3.46, 5 Ho 3.50-3.52

Entry from Alexandria via LeMat-Bulk: an optimized crystal structure of Ti5FeCo2Pt2 (PBE).

Computed properties:
Energy of formation from the pure elements: -0.41 eV/atom
Density of states at the Fermi level: 0.842 states/eV per atom

abc: 10.0002 10.0002 2.9088
angles: 90.00 90.00 90.00
Closest atoms and distances in Å follow each position.
Space group P4/mbm (No. 127)
One atom of each set of equivalent atoms:
Ti: 0.0000 0.5000 0.0000  4 Co 2.37
Ti: 0.0798 0.1891 0.0000  2 Co 2.36, 2 Fe 2.52
Fe: 0.0000 0.0000 0.5000  8 Ti 2.52
Co: 0.1324 0.3676 0.5000  6 Ti 2.36-2.37
Pt: 0.1684 0.6684 0.5000  6 Ti 2.79-2.91, 3 Co 2.82-3.03, 2 Pt 2.91

Entry from Alexandria via LeMat-Bulk: an optimized crystal structure of LiF (PBE).

Computed properties:
Excess energy over the best structure of this formula in the dataset: 0 meV per atom
Formation energy (no corrections): -2952 meV/atom
Density of states at the Fermi level: 0.000 states/eV per atom

abc: 4.0789 4.0789 4.0789
angles: 90.00 90.00 90.00
Closest atoms and distances in Å follow each position.
Space group Fm-3m (No. 225)
One atom of each set of equivalent atoms:
Li: 0.0000 0.0000 0.0000  6 F 2.04
F: 0.0000 0.0000 0.5000  6 Li 2.04

Entry from Alexandria via LeMat-Bulk: an optimized crystal structure of Sc2CoAs (PBE).

Computed properties:
Energy of formation from the pure elements: -0.60 eV/atom
Density of states at the Fermi level: 0.714 states/eV per atom

abc: 4.0701 4.0701 15.2351
angles: 90.00 90.00 120.00
Closest atoms and distances in Å follow each position.
Space group R3m (No. 160, hexagonal axes)
One atom of each set of equivalent atoms:
Sc: 0.0000 0.0000 0.0000  3 Co 2.64, 3 As 2.90
Sc: 0.0000 0.0000 0.1970  3 As 2.68, 3 Co 2.96, 1 Sc 3.00
Co: 0.0000 0.0000 0.4122  3 As 2.40, 3 Sc 2.64
As: 0.0000 0.0000 0.7784  3 Co 2.40, 3 Sc 2.68

The calculation returns the following volume values, one per record and in order: 494, 650, 358, 326, 313, 1534, 234, 118, 695, 291, 68, 219 Å³ per cell.